No. 1
A relaxed NdHoSiHg crystal, computed with PBE-GGA.

V	24.68	A^3/atom
DFT total energy	-4.220	eV/atom
space group	F-43m, No. 216
formation energy without anion corrections	-0.4520	eV/atom
D(E_F)	3.342	states/eV/cell
density	9.047	g/cm³
crystal system	cubic

Cell: 5.1876 5.1876 5.1876 Å, 60.00 60.00 60.00°
Fractional positions:
Si 0.7500 0.7500 0.7500
Nd 0.5000 0.5000 0.5000
Hg 0.2500 0.2500 0.2500
Ho 0.0000 0.0000 0.0000

---

No. 2
A relaxed NdSmHo2Hg4 crystal, computed with PBE-GGA.

V	26.68	A^3/atom
DFT total energy	-2.949	eV/atom
space group	R-3m, No. 166
D(E_F)	9.195	states/eV/cell
density	11.099	g/cm³
formation energy from the elements	-0.468	eV/atom
crystal system	trigonal

Cell: 5.3244 5.3244 9.2226 Å, 73.22 73.22 60.00°
Fractional positions:
Nd 0.0000 0.0000 0.0000
Sm 0.5000 0.5000 0.5000
Ho 0.7502 0.7502 0.7494
Ho 0.2498 0.2498 0.2506
Hg 0.3759 0.3759 0.8724
Hg 0.8741 0.8741 0.3776
Hg 0.1259 0.1259 0.6224
Hg 0.6241 0.6241 0.1276

---

No. 3
A relaxed NdHo2Sn2Hg2 crystal, computed with PBE-GGA.

V	27.57	A^3/atom
DFT total energy	-3.561	eV/atom
space group	R-3m, No. 166
D(E_F)	5.121	states/eV/cell
density	9.576	g/cm³
formation energy from the elements	-0.342	eV/atom
crystal system	trigonal

Cell: 5.0006 5.0006 9.3663 Å, 74.52 74.52 60.00°
Fractional positions:
Nd 0.0000 0.0000 0.0000
Ho 0.1317 0.1317 0.6049
Ho 0.8683 0.8683 0.3951
Sn 0.7324 0.7324 0.8029
Sn 0.2676 0.2676 0.1971
Hg 0.5656 0.5656 0.3033
Hg 0.4344 0.4344 0.6967

---

No. 4
A relaxed Tb2NdHoHg4 crystal, computed with PBE-GGA.

V	26.52	A^3/atom
DFT total energy	-2.949	eV/atom
space group	R-3m, No. 166
D(E_F)	9.131	states/eV/cell
density	11.188	g/cm³
formation energy from the elements	-0.472	eV/atom
crystal system	trigonal

Cell: 5.3018 5.3018 9.2367 Å, 73.32 73.32 60.00°
Fractional positions:
Tb 0.7505 0.7505 0.7484
Tb 0.2495 0.2495 0.2516
Nd 0.0000 0.0000 0.0000
Ho 0.5000 0.5000 0.5000
Hg 0.3778 0.3778 0.8666
Hg 0.8729 0.8729 0.3812
Hg 0.1271 0.1271 0.6188
Hg 0.6222 0.6222 0.1334

---

No. 5
A relaxed TbNdHoHg crystal, computed with PBE-GGA.

distance to the lowest polymorph of the same formula	169	meV per atom
V	28.86	A^3/atom
DFT total energy	-3.633	eV/atom
space group	F-43m, No. 216
D(E_F)	5.230	states/eV/cell
density	9.619	g/cm³
formation energy from the elements	-0.063	eV/atom
crystal system	cubic

Cell: 5.4653 5.4653 5.4653 Å, 60.00 60.00 60.00°
Fractional positions:
Nd 0.0000 0.0000 0.0000
Tb 0.5000 0.5000 0.5000
Hg 0.7500 0.7500 0.7500
Ho 0.2500 0.2500 0.2500

---

No. 6
A relaxed TbNdHoHg crystal, computed with PBE-GGA.

distance to the lowest polymorph of the same formula	0	meV per atom
V	29.63	A^3/atom
DFT total energy	-3.802	eV/atom
space group	P4mm, No. 99
D(E_F)	4.894	states/eV/cell
density	9.368	g/cm³
formation energy from the elements	-0.233	eV/atom
crystal system	tetragonal

Cell: 3.6533 3.6533 8.8807 Å, 90.00 90.00 90.00°
Fractional positions:
Tb 0.5000 0.5000 0.7886
Nd 0.0000 0.0000 0.0730
Ho 0.5000 0.5000 0.3554
Hg 0.0000 0.0000 0.5677

---

No. 7
A relaxed TbNdHo2Hg4 crystal, computed with PBE-GGA.

V	26.37	A^3/atom
DFT total energy	-2.941	eV/atom
space group	R-3m, No. 166
D(E_F)	8.731	states/eV/cell
density	11.299	g/cm³
formation energy from the elements	-0.471	eV/atom
crystal system	trigonal

Cell: 5.2958 5.2958 9.2081 Å, 73.29 73.29 60.00°
Fractional positions:
Tb 0.5000 0.5000 0.5000
Nd 0.0000 0.0000 0.0000
Ho 0.7505 0.7505 0.7486
Ho 0.2495 0.2495 0.2514
Hg 0.3772 0.3772 0.8684
Hg 0.8733 0.8733 0.3802
Hg 0.1267 0.1267 0.6198
Hg 0.6228 0.6228 0.1316

---

No. 8
A relaxed NdHoHgTe crystal, computed with PBE-GGA.

V	30.16	A^3/atom
DFT total energy	-4.072	eV/atom
space group	R3m, No. 160
formation energy without anion corrections	-0.8751	eV/atom
D(E_F)	2.202	states/eV/cell
density	8.772	g/cm³
crystal system	trigonal

Cell: 4.2291 4.2291 8.1635 Å, 74.99 74.99 60.00°
Fractional positions:
Nd 0.5001 0.5001 0.4998
Ho 0.0001 0.0001 0.9997
Hg 0.2535 0.2535 0.2394
Te 0.7463 0.7463 0.7611